Computed, not measured: a relaxed Sr2ZnCu2 crystal at the PBE level of DFT.

a b c (Å): 3.6710 3.6710 18.6142
angles (deg): 90.00 90.00 90.00
Last column: nearest neighbours and their distance in Å.
Space group I4/mmm (No. 139)
Symmetry-distinct sites (fractional):
Sr: 0.0000 0.0000 0.1108 (multiplicity 4)  4 Cu 3.18, 4 Zn 3.31
Zn: 0.0000 0.0000 0.5000 (multiplicity 2)  8 Sr 3.31, 4 Zn 3.67
Cu: 0.0000 0.5000 0.2500 (multiplicity 4)  4 Cu 2.60

Properties
Calculated formation energy (eV/atom): 0.048
Total magnetic moment (μB per cell): 0.0
Final energy (eV/atom): -2.518

---

Computed, not measured: a relaxed BP3RhC crystal at the PBE level of DFT.

a b c (Å): 11.3085 3.1025 4.7835
angles (deg): 90.00 100.83 90.00
Last column: nearest neighbours and their distance in Å.
Space group Cm (No. 8)
Symmetry-distinct sites (fractional):
B: 0.0000 0.0000 0.0000 (multiplicity 2)  1 C 1.57
P: 0.0376 0.5000 0.2285 (multiplicity 2)  2 B 1.90
P: 0.2502 0.5000 0.8307 (multiplicity 2)  1 C 1.94
P: 0.3891 0.0000 0.4781 (multiplicity 2)  2 C 1.91
Rh: 0.2115 0.0000 0.1415 (multiplicity 2)  3 P 2.25-2.33, 1 B 2.36
C: 0.4055 0.5000 0.7147 (multiplicity 2)  1 B 1.57

Properties
Energy above the most stable polymorph in this dataset (eV/atom): 0.034
Calculated formation energy (eV/atom): 0.053
Total magnetic moment (μB per cell): 0.0
Final energy (eV/atom): -6.527

---

Computed, not measured: a relaxed YC crystal at the PBE level of DFT.

a b c (Å): 8.3850 3.7093 4.1272
angles (deg): 90.00 95.95 90.00
Last column: nearest neighbours and their distance in Å.
Space group C2/m (No. 12)
Symmetry-distinct sites (fractional):
Y: 0.1405 0.0000 0.2482 (multiplicity 4)  3 C 2.40-2.46
C: 0.0756 0.5000 0.6048 (multiplicity 4)  1 C 1.46

Properties
Energy above the most stable polymorph in this dataset (eV/atom): 0.099
Calculated formation energy (eV/atom): -0.115
Total magnetic moment (μB per cell): 0.0
Final energy (eV/atom): -7.959

---

Computed, not measured: a relaxed LaNiW2 crystal at the PBE level of DFT.

a b c (Å): 4.8124 4.8124 17.0663
angles (deg): 90.00 90.00 90.00
Last column: nearest neighbours and their distance in Å.
Space group I4_1/amd (No. 141, origin choice 2)
Symmetry-distinct sites (fractional):
La: 0.0000 0.2500 0.3750 (multiplicity 4)  4 Ni 3.40, 8 W 3.43
Ni: 0.0000 0.2500 0.8750 (multiplicity 4)  4 W 2.45
W: 0.0000 0.0000 0.0000 (multiplicity 8)  2 W 2.41, 2 Ni 2.45

Properties
Energy above the most stable polymorph in this dataset (eV/atom): 0.671
Calculated formation energy (eV/atom): 0.978
Total magnetic moment (μB per cell): 0.0
Final energy (eV/atom): -8.176

---

Computed, not measured: a relaxed LaTb2Bi3 crystal at the PBE level of DFT.

a b c (Å): 4.5692 6.4677 13.6783
angles (deg): 90.00 90.00 90.00
Last column: nearest neighbours and their distance in Å.
Space group Immm (No. 71)
Symmetry-distinct sites (fractional):
La: 0.0000 0.0000 0.0000 (multiplicity 2)  6 Bi 3.23-3.29
Tb: 0.0000 0.0000 0.3351 (multiplicity 4)  6 Bi 3.18-3.24
Bi: 0.0000 0.5000 0.0000 (multiplicity 2)  4 Tb 3.21, 2 La 3.23
Bi: 0.0000 0.5000 0.3270 (multiplicity 4)  4 Tb 3.18-3.24, 2 La 3.29

Properties
Calculated formation energy (eV/atom): -0.929
Total magnetic moment (μB per cell): 0.0
Final energy (eV/atom): -5.234

---

Computed, not measured: a relaxed Na3OsRu crystal at the PBE level of DFT.

a b c (Å): 5.4066 5.4066 5.4066
angles (deg): 90.00 90.00 90.00
Last column: nearest neighbours and their distance in Å.
Space group Pm-3m (No. 221)
Symmetry-distinct sites (fractional):
Na: 0.0000 0.0000 0.5000 (multiplicity 3)  2 Os 2.70
Os: 0.0000 0.0000 0.0000 (multiplicity 1)  6 Na 2.70
Ru: 0.5000 0.5000 0.5000 (multiplicity 1)  12 Na 3.82

Properties
Energy above the most stable polymorph in this dataset (eV/atom): 0.000
Calculated formation energy (eV/atom): 2.114
Total magnetic moment (μB per cell): 5.0
Final energy (eV/atom): -2.779

---

Computed, not measured: a relaxed Li2P2Ru crystal at the PBE level of DFT.

a b c (Å): 5.9731 5.9731 3.8987
angles (deg): 90.00 90.00 90.00
Last column: nearest neighbours and their distance in Å.
Space group P4/mbm (No. 127)
Symmetry-distinct sites (fractional):
Li: 0.1766 0.3234 0.0000 (multiplicity 4)  6 P 2.54-2.69
P: 0.1305 0.6305 0.5000 (multiplicity 4)  1 P 2.21, 2 Ru 2.34
Ru: 0.0000 0.0000 0.5000 (multiplicity 2)  4 P 2.34

Properties
Calculated formation energy (eV/atom): -0.645
Total magnetic moment (μB per cell): 0.0
Final energy (eV/atom): -5.429

---

Computed, not measured: a relaxed Ca5Sb4O crystal at the PBE level of DFT.

a b c (Å): 9.3782 9.3782 6.3521
angles (deg): 90.00 90.00 90.00
Last column: nearest neighbours and their distance in Å.
Space group I4 (No. 79)
Symmetry-distinct sites (fractional):
Ca: 0.0000 0.0000 0.0000 (multiplicity 2)  1 O 2.31
Ca: 0.1057 0.7661 0.5772 (multiplicity 8)  1 O 2.44
Sb: 0.0631 0.6682 0.0817 (multiplicity 8)  6 Ca 3.14-3.36, 1 Sb 3.37
O: 0.0000 0.0000 0.6365 (multiplicity 2)  5 Ca 2.31-2.44

Properties
Energy relative to the elements, uncorrected (eV/atom): -1.082
Total magnetic moment (μB per cell): 0.0
Final energy (eV/atom): -4.228

---

Question: Which formula does entry 2 have?
Answer: BP3RhC

---

Question: The highest total magnetic moment belongs to which entry?
Answer: Na3OsRu